No. 1
Compound: Ba6As2PtN
Source: Alexandria via LeMat-Bulk
Functional: PBE
Structure: optimized geometry

The value obtained for the total magnetization is 2.0 μB/cell. Its uncorrected formation energy is -0.78 eV per atom. Its crystal system is monoclinic.

The space group is P2_1/c (No. 14) and the conventional cell measures 7.673, 8.442 and 13.473 Å, with angles of 90.00, 124.45 and 90.00 degrees. The distinct sites, in fractional coordinates, are Ba at (0.107, 0.046, 0.233), Ba at (0.230, 0.704, 0.062), Ba at (0.361, 0.175, 0.063), As at (0.288, 0.090, 0.750), Pt at (0.500, 0.000, 0.500) and N at (0.000, 0.000, 0.000).

***

No. 2
Compound: Tb2Sm4Y2Er
Source: Alexandria via LeMat-Bulk
Functional: PBE
Structure: optimized geometry

The calculation puts the formation energy from the elements at 0.02 eV per atom. The value obtained for the total magnetization is 0.0 μB/cell. Its crystal system is monoclinic.

The space group is C2/m (No. 12) and the conventional cell measures 18.641, 3.583 and 8.800 Å, with angles of 90.00, 90.03 and 90.00 degrees. The distinct sites, in fractional coordinates, are Tb at (0.166, 0.000, 0.499), Sm at (0.055, 0.000, 0.170), Sm at (0.222, 0.500, 0.169), Y at (0.111, 0.500, 0.832) and Er at (0.000, 0.500, 0.500).

***

No. 3
Compound: Ta2InP
Source: Alexandria via LeMat-Bulk
Functional: PBE
Structure: optimized geometry

The calculation puts the formation energy from the elements at 0.06 eV per atom. Its distance to the lowest polymorph of the same formula is 1.40 eV per formula unit. The value obtained for the total magnetization is 0.0 μB/cell. Its crystal system is orthorhombic.

The space group is Imm2 (No. 44) and the conventional cell measures 3.215, 4.531 and 9.876 Å, with angles of 90.00, 90.00 and 90.00 degrees. The distinct sites, in fractional coordinates, are Ta at (0.000, 0.000, 0.000), Ta at (0.000, 0.500, 0.220), In at (0.000, 0.500, 0.781) and P at (0.000, 0.000, 0.534).

***

No. 4
Compound: CsPdS2
Source: Alexandria via LeMat-Bulk
Functional: PBE
Structure: optimized geometry

The value obtained for the total magnetization is 1.8 μB/cell. Its uncorrected formation energy is -0.58 eV per atom. Its crystal system is orthorhombic.

The space group is Cmcm (No. 63) and the conventional cell measures 6.149, 14.008 and 7.003 Å, with angles of 90.00, 90.00 and 90.00 degrees. The distinct sites, in fractional coordinates, are Cs at (0.000, 0.169, 0.250), Pd at (0.000, 0.499, 0.250) and S at (0.000, 0.391, 0.502).

***

No. 5
Compound: Sc3Ge2Pd
Source: Alexandria via LeMat-Bulk
Functional: PBE
Structure: optimized geometry

The calculation puts the formation energy from the elements at -0.83 eV per atom. The value obtained for the total magnetization is 0.0 μB/cell. Its crystal system is orthorhombic.

The space group is Pnma (No. 62) and the conventional cell measures 10.983, 4.179 and 10.256 Å, with angles of 90.00, 90.00 and 90.00 degrees. The distinct sites, in fractional coordinates, are Sc at (0.047, 0.250, 0.128), Sc at (0.135, 0.750, 0.571), Sc at (0.222, 0.250, 0.809), Ge at (0.001, 0.750, 0.313), Ge at (0.180, 0.750, 0.017) and Pd at (0.123, 0.250, 0.382).

***

No. 6
Compound: Sm2SiW
Source: Alexandria via LeMat-Bulk
Functional: PBE
Structure: optimized geometry

The value obtained for the total magnetization is 0.0 μB/cell. Its uncorrected formation energy is 0.70 eV per atom. Its crystal system is trigonal.

The space group is R-3m (No. 166, hexagonal axes) and the conventional cell measures 3.1236, 3.1236 and 32.0495 Å, with angles of 90.00, 90.00 and 120.00 degrees. The distinct sites, in fractional coordinates, are Sm at (0.0000, 0.0000, 0.0908), Si at (0.0000, 0.0000, 0.5000) and W at (0.0000, 0.0000, 0.0000).

***

No. 7
Compound: Fe2TcPt
Source: Alexandria via LeMat-Bulk
Functional: PBE
Structure: optimized geometry

The calculation puts the formation energy from the elements at -0.03 eV per atom. Its distance to the lowest polymorph of the same formula is 0.06 eV per formula unit. The value obtained for the total magnetization is 7.5 μB/cell. Its crystal system is tetragonal.

The space group is I-4m2 (No. 119) and the conventional cell measures 3.715, 3.715 and 7.678 Å, with angles of 90.00, 90.00 and 90.00 degrees. The distinct sites, in fractional coordinates, are Fe at (0.000, 0.000, 0.000), Fe at (0.000, 0.500, 0.250), Tc at (0.000, 0.000, 0.500) and Pt at (0.000, 0.500, 0.750).

***

No. 8
Compound: Tb3PbSe
Source: Alexandria via LeMat-Bulk
Functional: PBE
Structure: optimized geometry

The value obtained for the total magnetization is 0.8 μB/cell. Its uncorrected formation energy is -0.90 eV per atom. Its crystal system is monoclinic.

The space group is P2_1/m (No. 11) and the conventional cell measures 8.096, 4.277 and 8.660 Å, with angles of 90.00, 98.80 and 90.00 degrees. The distinct sites, in fractional coordinates, are Tb at (0.075, 0.250, 0.316), Tb at (0.320, 0.250, 0.964), Tb at (0.390, 0.750, 0.628), Pb at (0.339, 0.750, 0.237) and Se at (0.154, 0.250, 0.647).

***

No. 9
Compound: SiRuPt2
Source: Alexandria via LeMat-Bulk
Functional: PBE
Structure: optimized geometry

The value obtained for the total magnetization is 0.0 μB/cell. Its uncorrected formation energy is -0.17 eV per atom. Its crystal system is orthorhombic.

The space group is Cmmm (No. 65) and the conventional cell measures 5.299, 7.817 and 2.813 Å, with angles of 90.00, 90.00 and 90.00 degrees. The distinct sites, in fractional coordinates, are Si at (0.000, 0.000, 0.000), Ru at (0.000, 0.500, 0.000) and Pt at (0.250, 0.250, 0.500).

***

No. 10
Compound: YAsPbCl2
Source: Alexandria via LeMat-Bulk
Functional: PBE
Structure: optimized geometry

The value obtained for the total magnetization is 1.2 μB/cell. Its uncorrected formation energy is -0.05 eV per atom. Its crystal system is tetragonal.

The space group is P4/mmm (No. 123) and the conventional cell measures 5.194, 5.194 and 6.595 Å, with angles of 90.00, 90.00 and 90.00 degrees. The distinct sites, in fractional coordinates, are Y at (0.000, 0.000, 0.000), As at (0.500, 0.500, 0.000), Pb at (0.000, 0.000, 0.500) and Cl at (0.000, 0.500, 0.500).

***

No. 11
Compound: MgSc4As
Source: Alexandria via LeMat-Bulk
Functional: PBE
Structure: optimized geometry

The calculation puts the formation energy from the elements at 0.19 eV per atom. The value obtained for the total magnetization is 0.0 μB/cell. Its crystal system is cubic.

The space group is F-43m (No. 216) and the conventional cell measures 8.281, 8.281 and 8.281 Å, with angles of 90.00, 90.00 and 90.00 degrees. The distinct sites, in fractional coordinates, are Mg at (0.000, 0.000, 0.000), Sc at (0.125, 0.125, 0.625) and As at (0.250, 0.250, 0.250).

***

No. 12
Compound: K2Pu2O5
Source: Alexandria via LeMat-Bulk
Functional: PBE
Structure: optimized geometry

The value obtained for the total magnetization is 8.0 μB/cell. Its uncorrected formation energy is -2.49 eV per atom. Its crystal system is tetragonal.

The space group is P4/mmm (No. 123) and the conventional cell measures 4.309, 4.309 and 8.617 Å, with angles of 90.00, 90.00 and 90.00 degrees. The distinct sites, in fractional coordinates, are K at (0.000, 0.000, 0.000), K at (0.000, 0.000, 0.500), Pu at (0.500, 0.500, 0.248), O at (0.000, 0.500, 0.276) and O at (0.500, 0.500, 0.000).

***

What did the fifth record say?
Compound: Sc3Ge2Pd
Source: Alexandria via LeMat-Bulk
Functional: PBE
Structure: optimized geometry

The calculation puts the formation energy from the elements at -0.83 eV per atom. The value obtained for the total magnetization is 0.0 μB/cell. Its crystal system is orthorhombic.

The space group is Pnma (No. 62) and the conventional cell measures 10.983, 4.179 and 10.256 Å, with angles of 90.00, 90.00 and 90.00 degrees. The distinct sites, in fractional coordinates, are Sc at (0.047, 0.250, 0.128), Sc at (0.135, 0.750, 0.571), Sc at (0.222, 0.250, 0.809), Ge at (0.001, 0.750, 0.313), Ge at (0.180, 0.750, 0.017) and Pd at (0.123, 0.250, 0.382).